# 1
Below is a relaxed I2Br4Cl crystal, with properties calculated at the PBE-GGA level.

## Properties
uncorrected energy = -11.49 eV per formula unit
space-group type = No. 1
total magnetic moment = 0.0 μB per formula unit

The structure in extended XYZ format:
```
14
Lattice="9.3796 0.0000 0.0000 4.5386 8.6096 0.0000 4.6877 0.0176 8.7717" Properties=species:S:1:pos:R:3 pbc="T T T"
I 0.0000 0.0000 0.0000
I 2.3635 0.1511 4.2487
I 6.9585 4.3223 8.6679
I 9.3266 4.4585 4.4166
Br 6.5712 4.9835 4.4705
Br 2.7211 0.6070 0.0672
Br 9.6796 4.9311 8.5984
Br 9.4030 8.1365 4.1656
Br 8.9884 0.6798 4.1947
Br 11.4310 7.9141 0.0614
Br 13.8510 3.6265 8.6093
Br 11.8274 3.8343 4.5001
Cl 5.7874 4.9392 2.1637
Cl 8.2042 0.6428 6.5015
```

# 2
Below is a relaxed IBrCl3 crystal, with properties calculated at the PBE-GGA level.

## Properties
space-group type = No. 221
total magnetic moment = 1.0 μB per formula unit
energy above the lowest structure with this stoichiometry = 0.1318 eV per atom

The structure in extended XYZ format:
```
5
Lattice="5.3728 0.0000 0.0000 0.0000 5.3728 0.0000 0.0000 0.0000 5.3728" Properties=species:S:1:pos:R:3 pbc="T T T"
I 0.0000 0.0000 0.0000
Br 2.6864 2.6864 2.6864
Cl 0.0000 0.0000 2.6864
Cl 0.0000 2.6864 0.0000
Cl 2.6864 0.0000 0.0000
```

# 3
Below is a relaxed IBr3Cl crystal, with properties calculated at the PBE-GGA level.

## Properties
space-group type = No. 221
total magnetic moment = 2.0 μB per formula unit
energy above the lowest structure with this stoichiometry = 0.5296 eV per atom

The structure in extended XYZ format:
```
5
Lattice="5.4194 0.0000 0.0000 0.0000 5.4194 0.0000 0.0000 0.0000 5.4194" Properties=species:S:1:pos:R:3 pbc="T T T"
I 0.0000 0.0000 0.0000
Br 0.0000 2.7097 2.7097
Br 2.7097 0.0000 2.7097
Br 2.7097 2.7097 0.0000
Cl 2.7097 2.7097 2.7097
```

# 4
Below is a relaxed IBrCl crystal, with properties calculated at the PBE-GGA level.

## Properties
space-group type = No. 2
total magnetic moment = 0.0 μB per formula unit
energy above the lowest structure with this stoichiometry = 0.0309 eV per atom

The structure in extended XYZ format:
```
6
Lattice="5.8487 0.0000 0.0000 2.0249 6.6126 0.0000 0.2742 1.3330 6.9725" Properties=species:S:1:pos:R:3 pbc="T T T"
I 0.0000 0.0000 0.0000
I 3.0615 0.6665 3.4863
Br 1.6972 2.5939 5.0528
Br 6.4506 5.3517 1.9197
Cl 3.5520 2.4625 1.8424
Cl 4.5958 5.4832 5.1301
```

# 5
Below is a relaxed I4BrCl2 crystal, with properties calculated at the PBE-GGA level.

## Properties
uncorrected energy = -11.49 eV per formula unit
space-group type = No. 8
total magnetic moment = 1.1 μB per formula unit

The structure in extended XYZ format:
```
7
Lattice="4.7219 -6.6678 0.0000 4.7219 6.6678 0.0000 -2.6977 0.0000 8.3460" Properties=species:S:1:pos:R:3 pbc="T T T"
I 0.0000 0.0000 0.0000
I 4.3045 1.3639 0.7687
I 4.3045 -1.3639 0.7687
I 4.6526 0.0000 6.1463
Br 2.8514 0.0000 4.2923
Cl 2.1787 4.1277 8.2532
Cl 2.1787 -4.1277 8.2532
```

# 6
Below is a relaxed I3Br2Cl6 crystal, with properties calculated at the PBE-GGA level.

## Properties
uncorrected energy = -19.61 eV per formula unit
space-group type = No. 15
total magnetic moment = 1.1 μB per formula unit

The structure in extended XYZ format:
```
22
Lattice="7.5548 -4.1733 0.0000 7.5548 4.1733 0.0000 -2.6896 0.0000 15.8352" Properties=species:S:1:pos:R:3 pbc="T T T"
I 5.5376 3.7723 11.8764
I 4.3672 0.7132 3.7766
I 3.0224 -0.7132 11.6942
I 9.3975 0.7132 4.1410
I 8.0528 -0.7132 12.0586
I 6.8824 -3.7723 3.9588
Br 3.6707 0.2470 7.7506
Br 2.3259 -0.2470 15.6682
Br 10.0940 0.2470 0.1670
Br 8.7492 -0.2470 8.0845
Cl 5.3057 3.7236 9.4140
Cl 5.7695 3.7236 14.3387
Cl 3.3588 0.4923 1.4260
Cl 2.0140 -0.4923 9.3436
Cl 5.3214 0.9912 6.1435
Cl 8.4433 0.9912 1.7741
Cl 3.9766 -0.9912 14.0611
Cl 7.0985 -0.9912 9.6917
Cl 10.4060 0.4923 6.4916
Cl 9.0612 -0.4923 14.4092
Cl 6.6505 -3.7236 1.4964
Cl 7.1143 -3.7236 6.4212
```

# 7
Below is a relaxed IBrCl2 crystal, with properties calculated at the PBE-GGA level.

## Properties
space-group type = No. 166
total magnetic moment = 0.0 μB per formula unit
energy above the lowest structure with this stoichiometry = 0.3097 eV per atom

The structure in extended XYZ format:
```
4
Lattice="1.7460 1.0080 12.7059 -1.7460 1.0080 12.7059 0.0000 -2.0161 12.7059" Properties=species:S:1:pos:R:3 pbc="T T T"
I 0.0000 0.0000 0.0000
Br 0.0000 0.0000 19.0589
Cl 0.0000 0.0000 16.7411
Cl 0.0000 0.0000 21.3767
```

# 8
Below is a relaxed I2Br2Cl crystal, with properties calculated at the PBE-GGA level.

## Properties
uncorrected energy = -8.37 eV per formula unit
space-group type = No. 2
total magnetic moment = 0.0 μB per formula unit

The structure in extended XYZ format:
```
10
Lattice="6.5906 0.0000 0.0000 -0.3030 7.5064 0.0000 -2.6723 -2.6278 9.6339" Properties=species:S:1:pos:R:3 pbc="T T T"
I 0.3054 2.1493 2.2595
I -0.9285 4.8747 7.0170
I 4.5438 0.0039 2.6169
I 3.3100 2.7293 7.3744
Br -0.4009 3.8177 4.3395
Br -1.6160 -1.1665 9.3350
Br 5.2314 6.0451 0.2989
Br 4.0162 1.0609 5.2944
Cl 1.1877 -1.0597 6.7504
Cl 2.4277 5.9383 2.8835
```

# 9
Below is a relaxed I3Br2Cl2 crystal, with properties calculated at the PBE-GGA level.

## Properties
uncorrected energy = -11.76 eV per formula unit
space-group type = No. 12
total magnetic moment = 0.0 μB per formula unit

The structure in extended XYZ format:
```
7
Lattice="5.9507 -4.3336 0.0000 5.9507 4.3336 0.0000 -2.8145 0.0000 6.1337" Properties=species:S:1:pos:R:3 pbc="T T T"
I 0.0000 0.0000 0.0000
I 0.9214 0.0000 5.1674
I 8.1656 0.0000 0.9663
Br 4.5048 0.0000 1.4506
Br 4.5821 0.0000 4.6831
Cl 0.9769 0.0000 2.3526
Cl 8.1101 0.0000 3.7811
```

# 10
Below is a relaxed IBr2Cl8 crystal, with properties calculated at the PBE-GGA level.

## Properties
uncorrected energy = -19.54 eV per formula unit
space-group type = No. 2
total magnetic moment = 0.0 μB per formula unit

The structure in extended XYZ format:
```
11
Lattice="4.4652 0.0000 0.0000 -0.6089 6.4992 0.0000 -1.4364 -1.1873 14.5128" Properties=species:S:1:pos:R:3 pbc="T T T"
I 0.0000 0.0000 0.0000
Br 0.8032 3.9738 6.5333
Br 1.6167 1.3381 7.9795
Cl -0.6049 4.9356 1.9054
Cl 0.0653 4.8378 8.5813
Cl 1.7149 1.3940 1.1379
Cl 0.9216 2.2055 9.9865
Cl 1.4983 3.1064 4.5263
Cl 0.7051 3.9179 13.3749
Cl 2.3546 0.4741 5.9315
Cl 3.0248 0.3763 12.6074
```

# 11
Below is a relaxed IBrCl2 crystal, with properties calculated at the PBE-GGA level.

## Properties
space-group type = No. 2
total magnetic moment = 0.0 μB per formula unit
energy above the lowest structure with this stoichiometry = 0.0000 eV per atom

The structure in extended XYZ format:
```
16
Lattice="5.4317 0.0000 0.0000 0.0054 6.6675 0.0000 2.1304 0.0002 18.4027" Properties=species:S:1:pos:R:3 pbc="T T T"
I 0.7268 0.8208 3.1166
I 3.0525 4.1549 6.0817
I 4.5150 2.5128 12.3210
I 6.8407 5.8469 15.2861
Br 1.2510 6.3588 5.6810
Br 2.5315 3.0240 3.5170
Br 5.0361 3.6438 14.8857
Br 6.3165 0.3089 12.7217
Cl 0.1872 1.8939 1.0223
Cl 2.9445 0.9970 15.7420
Cl 2.9779 4.3320 11.8645
Cl 3.5928 5.2267 8.1763
Cl 3.9748 1.4410 10.2264
Cl 4.5897 2.3358 6.5382
Cl 4.6231 5.6708 2.6607
Cl 7.3804 4.7738 17.3804
```

# 12
Below is a relaxed IBr3Cl crystal, with properties calculated at the PBE-GGA level.

## Properties
space-group type = No. 1
total magnetic moment = 0.0 μB per formula unit
energy above the lowest structure with this stoichiometry = 0.0000 eV per atom

The structure in extended XYZ format:
```
10
Lattice="5.4722 0.0000 0.0000 -0.0923 7.8120 0.0000 -1.5299 -2.8330 11.2140" Properties=species:S:1:pos:R:3 pbc="T T T"
I 0.0000 0.0000 0.0000
I 0.1974 2.4282 5.7480
Br -0.3252 1.3325 2.2922
Br -0.9716 3.9121 8.8334
Br 0.1466 -0.5633 10.8432
Br 0.8360 -0.2433 8.5154
Br 4.0499 5.3352 3.2136
Br 4.1734 4.7530 5.5740
Cl 1.5374 0.3147 6.1072
Cl 3.7731 5.9299 0.6446
```

# 13
Below is a relaxed IBrCl crystal, with properties calculated at the PBE-GGA level.

## Properties
space-group type = No. 1
total magnetic moment = 0.0 μB per formula unit
energy above the lowest structure with this stoichiometry = 0.0778 eV per atom

The structure in extended XYZ format:
```
3
Lattice="4.3660 0.0000 0.0000 0.2043 4.9409 0.0000 1.4864 1.2006 5.7977" Properties=species:S:1:pos:R:3 pbc="T T T"
I 0.0000 0.0000 0.0000
Br 2.0295 4.0077 1.6728
Cl 4.1150 2.0818 4.2222
```

# 14
Below is a relaxed IBr3Cl4 crystal, with properties calculated at the PBE-GGA level.

## Properties
uncorrected energy = -14.17 eV per formula unit
space-group type = No. 44
total magnetic moment = 0.0 μB per formula unit

The structure in extended XYZ format:
```
8
Lattice="-4.2303 5.8494 4.0336 4.2303 -5.8494 4.0336 4.2303 5.8494 -4.0336" Properties=species:S:1:pos:R:3 pbc="T T T"
I 0.0000 0.0000 0.0000
Br 2.5236 5.8494 1.6944
Br 1.7067 0.0000 5.7280
Br 0.0000 5.8494 1.9895
Cl 1.8123 0.0000 1.6019
Cl 6.6482 0.0000 1.6019
Cl 4.2303 -3.3873 4.0166
Cl 4.2303 3.3873 4.0166
```

# 15
Below is a relaxed IBr3Cl crystal, with properties calculated at the PBE-GGA level.

## Properties
space-group type = No. 221
total magnetic moment = 0.8 μB per formula unit
energy above the lowest structure with this stoichiometry = 0.3710 eV per atom

The structure in extended XYZ format:
```
5
Lattice="5.6489 0.0000 0.0000 0.0000 5.6489 0.0000 0.0000 0.0000 5.6489" Properties=species:S:1:pos:R:3 pbc="T T T"
I 0.0000 0.0000 0.0000
Br 0.0000 0.0000 2.8245
Br 0.0000 2.8245 0.0000
Br 2.8245 0.0000 0.0000
Cl 2.8245 2.8245 2.8245
```

# 16
Below is a relaxed IBrCl crystal, with properties calculated at the PBE-GGA level.

## Properties
space-group type = No. 1
total magnetic moment = 0.0 μB per formula unit
energy above the lowest structure with this stoichiometry = 0.0538 eV per atom

The structure in extended XYZ format:
```
6
Lattice="6.0009 0.0000 0.0000 -2.1169 5.6285 0.0000 -1.5233 -2.8606 7.9354" Properties=species:S:1:pos:R:3 pbc="T T T"
I 0.0000 0.0000 0.0000
I -1.1705 2.6746 5.2351
Br -0.2452 4.3673 1.1843
Br 1.1025 1.9936 4.1756
Cl 2.2385 -1.4301 6.7996
Cl 3.6307 1.2101 3.5211
```

# 17
Below is a relaxed IBr2Cl2 crystal, with properties calculated at the PBE-GGA level.

## Properties
uncorrected energy = -8.77 eV per formula unit
space-group type = No. 12
total magnetic moment = 0.0 μB per formula unit

The structure in extended XYZ format:
```
10
Lattice="4.2819 -8.3506 0.0000 4.2819 8.3506 0.0000 -1.8710 0.0000 7.2526" Properties=species:S:1:pos:R:3 pbc="T T T"
I 4.2819 4.2926 0.0000
I 4.2819 -4.2926 0.0000
Br -0.4341 0.0000 4.7352
Br 1.8908 0.0000 6.1496
Br 4.8019 0.0000 1.1030
Br 7.1269 0.0000 2.5174
Cl 1.7456 4.0460 1.7697
Cl 1.7456 -4.0460 1.7697
Cl 4.9472 4.0460 5.4829
Cl 4.9472 -4.0460 5.4829
```

# 18
Below is a relaxed I2BrCl4 crystal, with properties calculated at the PBE-GGA level.

## Properties
uncorrected energy = -13.06 eV per formula unit
space-group type = No. 1
total magnetic moment = 0.0 μB per formula unit

The structure in extended XYZ format:
```
14
Lattice="8.6836 0.0000 0.0000 -3.3589 8.0851 0.0000 -0.3915 -2.0345 9.8387" Properties=species:S:1:pos:R:3 pbc="T T T"
I 0.0000 0.0000 0.0000
I 6.6179 1.9893 9.8386
I -0.7491 4.6413 6.0722
I 4.1841 1.9349 2.5740
Br 1.6329 4.3831 5.0201
Br 3.6534 0.4450 4.7017
Cl -2.4191 5.9935 1.4291
Cl -1.3864 2.3601 5.5572
Cl -0.0780 1.3035 2.0774
Cl 3.1862 -0.9357 6.7771
Cl 4.4316 0.0334 1.0551
Cl 4.0321 4.1213 4.0060
Cl 4.9849 4.7209 7.7187
Cl 7.3655 0.0137 8.3983
```

# 19
Below is a relaxed I8BrCl6 crystal, with properties calculated at the PBE-GGA level.

## Properties
uncorrected energy = -26.09 eV per formula unit
space-group type = No. 2
total magnetic moment = 0.8 μB per formula unit

The structure in extended XYZ format:
```
15
Lattice="9.1854 0.0000 0.0000 0.2152 9.1880 0.0000 4.2428 0.3014 8.6743" Properties=species:S:1:pos:R:3 pbc="T T T"
I 1.8357 3.4567 1.5414
I 5.0738 1.6824 5.1479
I 3.2447 5.7626 0.2649
I 5.4121 4.6515 4.3324
I 8.2312 4.8378 4.3419
I 10.3987 3.7267 8.4094
I 8.5695 7.8069 3.5263
I 11.8077 6.0326 7.1329
Br 2.2290 4.7447 4.3371
Cl 5.5680 2.7523 8.0479
Cl 4.9195 8.5463 5.7160
Cl 5.0291 1.6021 0.8752
Cl 8.6143 7.8872 7.7990
Cl 8.7239 0.9430 2.9583
Cl 8.0754 6.7370 0.6263
```

# 20
Below is a relaxed IBrCl crystal, with properties calculated at the PBE-GGA level.

## Properties
space-group type = No. 11
total magnetic moment = 0.0 μB per formula unit
energy above the lowest structure with this stoichiometry = 0.0735 eV per atom

The structure in extended XYZ format:
```
6
Lattice="4.3829 0.0000 0.0000 0.0000 8.7306 0.0000 -1.1697 0.0000 7.0542" Properties=species:S:1:pos:R:3 pbc="T T T"
I 0.5038 2.1827 3.4938
I 2.7094 6.5480 3.5603
Br 0.8764 6.5480 5.4595
Br 2.3368 2.1827 1.5947
Cl 0.0720 6.5480 1.7677
Cl 3.1412 2.1827 5.2865
```